1.
MgAlHg2 | PBE | relaxed

## Properties
- energy of formation (eV per formula unit) = 0.02

```
data_MgAlHg2
_chemical_formula_sum 'Mg1 Al1 Hg2'
_cell_length_a 3.468
_cell_length_b 4.292
_cell_length_c 5.766
_cell_angle_alpha 90.00
_cell_angle_beta 90.00
_cell_angle_gamma 90.00
_symmetry_space_group_name_H-M 'P m m 2'
_symmetry_Int_Tables_number 25
loop_
_symmetry_equiv_pos_as_xyz
'x,y,z'
'-x,-y,z'
'-x,y,z'
'x,-y,z'
loop_
_atom_site_label
_atom_site_type_symbol
_atom_site_fract_x
_atom_site_fract_y
_atom_site_fract_z
Mg1 Mg 0.000 0.000 0.000
Al1 Al 0.500 0.500 0.303
Hg1 Hg 0.000 0.000 0.486
Hg2 Hg 0.500 0.500 0.808
```

***

2.
DyTmNi | PBE | relaxed

## Properties
- energy of formation (eV per formula unit) = -0.55

```
data_DyTmNi
_chemical_formula_sum 'Dy4 Tm4 Ni4'
_cell_length_a 6.650
_cell_length_b 6.650
_cell_length_c 6.650
_cell_angle_alpha 90.00
_cell_angle_beta 90.00
_cell_angle_gamma 90.00
_symmetry_space_group_name_H-M 'F -4 3 m'
_symmetry_Int_Tables_number 216
_symmetry_space_group_name_Hall 'F -4 2 3'
loop_
_atom_site_label
_atom_site_type_symbol
_atom_site_fract_x
_atom_site_fract_y
_atom_site_fract_z
Dy1 Dy 0.000 0.000 0.000
Tm1 Tm 0.000 0.000 0.500
Ni1 Ni 0.250 0.250 0.750
```

***

3.
KLaRe2 | PBE | relaxed

## Properties
- energy of formation (eV per formula unit) = 3.65

```
data_KLaRe2
_chemical_formula_sum 'K2 La2 Re4'
_cell_length_a 3.249
_cell_length_b 4.949
_cell_length_c 11.450
_cell_angle_alpha 90.00
_cell_angle_beta 90.00
_cell_angle_gamma 90.00
_symmetry_space_group_name_H-M 'C m m 2'
_symmetry_Int_Tables_number 35
loop_
_symmetry_equiv_pos_as_xyz
'x,y,z'
'-x,-y,z'
'-x,y,z'
'x,-y,z'
'x+1/2,y+1/2,z'
'-x+1/2,-y+1/2,z'
'-x+1/2,y+1/2,z'
'x+1/2,-y+1/2,z'
loop_
_atom_site_label
_atom_site_type_symbol
_atom_site_fract_x
_atom_site_fract_y
_atom_site_fract_z
K1 K 0.000 0.000 0.000
La1 La 0.000 0.500 0.650
Re1 Re 0.000 0.000 0.426
Re2 Re 0.000 0.500 0.256
```

***

4.
InOs2Se | PBE | relaxed

## Properties
- calculated total energy (eV/atom) = -6.332

```
data_InOs2Se
_chemical_formula_sum 'In4 Os8 Se4'
_cell_length_a 6.400
_cell_length_b 6.400
_cell_length_c 6.400
_cell_angle_alpha 90.00
_cell_angle_beta 90.00
_cell_angle_gamma 90.00
_symmetry_space_group_name_H-M 'F m -3 m'
_symmetry_Int_Tables_number 225
_symmetry_space_group_name_Hall '-F 4 2 3'
loop_
_atom_site_label
_atom_site_type_symbol
_atom_site_fract_x
_atom_site_fract_y
_atom_site_fract_z
In1 In 0.000 0.000 0.000
Os1 Os 0.250 0.250 0.250
Se1 Se 0.000 0.000 0.500
```

***

5.
Tl4CrSb | PBE | relaxed

## Properties
- calculated total energy (eV/atom) = -3.342

```
data_Tl4CrSb
_chemical_formula_sum 'Tl16 Cr4 Sb4'
_cell_length_a 8.989
_cell_length_b 8.989
_cell_length_c 8.989
_cell_angle_alpha 90.00
_cell_angle_beta 90.00
_cell_angle_gamma 90.00
_symmetry_space_group_name_H-M 'F -4 3 m'
_symmetry_Int_Tables_number 216
_symmetry_space_group_name_Hall 'F -4 2 3'
loop_
_atom_site_label
_atom_site_type_symbol
_atom_site_fract_x
_atom_site_fract_y
_atom_site_fract_z
Tl1 Tl 0.125 0.125 0.125
Cr1 Cr 0.250 0.250 0.750
Sb1 Sb 0.000 0.000 0.500
```

***

6.
PmNiSn2 | PBE | relaxed

## Properties
- energy of formation (eV per formula unit) = -2.35

```
data_PmNiSn2
_chemical_formula_sum 'Pm8 Ni8 Sn16'
_cell_length_a 4.509
_cell_length_b 9.299
_cell_length_c 17.373
_cell_angle_alpha 90.00
_cell_angle_beta 90.00
_cell_angle_gamma 90.00
_symmetry_space_group_name_H-M 'I m m m'
_symmetry_Int_Tables_number 71
_symmetry_space_group_name_Hall '-I 2 2'
loop_
_atom_site_label
_atom_site_type_symbol
_atom_site_fract_x
_atom_site_fract_y
_atom_site_fract_z
Pm1 Pm 0.000 0.000 0.206
Pm2 Pm 0.000 0.237 0.000
Ni1 Ni 0.000 0.253 0.351
Sn1 Sn 0.000 0.000 0.416
Sn2 Sn 0.000 0.337 0.196
Sn3 Sn 0.000 0.500 0.420
```